A plane-wave DFT calculation with PBE-GGA was carried out for a relaxed GaCo2C crystal.

a = 5.933 Å, b = 5.933 Å, c = 4.879 Å
α = 52.56°, β = 52.56°, γ = 90.00°
Fractional coordinates of all 8 atoms:
C1 0.500 0.500 0.000
C2 0.250 0.750 0.500
Co1 0.521 0.125 0.250
Co2 0.229 0.625 0.250
Co3 0.375 0.479 0.750
Co4 0.875 0.771 0.750
Ga1 0.000 0.000 0.000
Ga2 0.750 0.250 0.500

Calculated values
- Formation energy: 0.171 eV per atom
- Total magnetic moment: 0.000 μB/atom
- DFT total energy: -51.560 eV per cell


A plane-wave DFT calculation with PBE-GGA was carried out for a relaxed CsLi3Ca4I12 crystal.

a = 10.106 Å, b = 10.106 Å, c = 10.106 Å
α = 109.47°, β = 109.47°, γ = 109.47°
Fractional coordinates of all 20 atoms:
Cs1 0.000 0.000 0.000
Li1 0.000 0.500 0.500
Li2 0.500 0.500 0.000
Li3 0.500 0.000 0.500
Ca1 0.500 0.000 0.000
Ca2 0.500 0.500 0.500
Ca3 0.000 0.500 0.000
Ca4 0.000 0.000 0.500
I1 0.317 0.826 0.143
I2 0.683 0.174 0.857
I3 0.683 0.826 0.510
I4 0.857 0.683 0.174
I5 0.826 0.143 0.317
I6 0.174 0.490 0.317
I7 0.490 0.317 0.174
I8 0.174 0.857 0.683
I9 0.317 0.174 0.490
I10 0.143 0.317 0.826
I11 0.826 0.510 0.683
I12 0.510 0.683 0.826

Calculated values
- Total magnetic moment: 0.000 μB/atom
- DFT total energy: -61.991 eV per cell


A plane-wave DFT calculation with PBE-GGA was carried out for a relaxed BaMg2FeSn crystal.

a = 5.356 Å, b = 4.845 Å, c = 5.356 Å
α = 90.00°, β = 90.00°, γ = 90.00°
Each line ends with the local moment (μB).
Fractional coordinates of all 5 atoms:
Fe1 0.000 0.500 0.000  2.48
Mg1 0.000 0.000 0.500  0.01
Mg2 0.500 0.000 0.000  0.00
Ba1 0.500 0.500 0.500  -0.01
Sn1 0.000 0.000 0.000  -0.05

Calculated values
- Formation energy: 0.447 eV per atom
- Total magnetic moment: 0.486 μB/atom
- DFT total energy: -15.341 eV per cell


A plane-wave DFT calculation with PBE-GGA was carried out for a relaxed HfPaNi crystal.

a = 5.326 Å, b = 5.338 Å, c = 9.790 Å
α = 82.20°, β = 74.22°, γ = 60.07°
Fractional coordinates of all 12 atoms:
Hf1 0.581 0.838 0.500
Hf2 0.919 0.162 0.500
Hf3 0.169 0.662 0.000
Hf4 0.831 0.338 0.000
Pa1 0.171 0.500 0.658
Pa2 0.329 0.500 0.342
Pa3 0.579 0.000 0.842
Pa4 0.421 0.000 0.158
Ni1 0.626 0.500 0.748
Ni2 0.874 0.500 0.252
Ni3 0.124 0.000 0.752
Ni4 0.876 0.000 0.248

Calculated values
- E above lowest polymorph: 0 meV/atom
- Formation energy: -0.296 eV per atom
- Total magnetic moment: 0.000 μB/atom
- DFT total energy: -104.477 eV per cell


A plane-wave DFT calculation with PBE-GGA was carried out for a relaxed HoTm2In4 crystal.

a = 5.648 Å, b = 5.648 Å, c = 8.708 Å
α = 108.92°, β = 108.92°, γ = 90.00°
Fractional coordinates of all 7 atoms:
Ho1 0.000 0.000 0.000
Tm1 0.602 0.602 0.205
Tm2 0.398 0.398 0.795
In1 0.803 0.803 0.606
In2 0.197 0.197 0.394
In3 0.000 0.500 0.000
In4 0.500 0.000 0.000

Calculated values
- E above lowest polymorph: 557 meV/atom
- Formation energy: 0.248 eV per atom
- Total magnetic moment: 0.000 μB/atom
- DFT total energy: -22.736 eV per cell


A plane-wave DFT calculation with PBE-GGA was carried out for a relaxed CdCuTc2 crystal.

a = 9.378 Å, b = 9.378 Å, c = 9.378 Å
α = 16.97°, β = 16.97°, γ = 16.97°
Each line ends with the local moment (μB).
Fractional coordinates of all 4 atoms:
Cd1 0.250 0.250 0.250  0.00
Cu1 0.750 0.750 0.750  0.04
Tc1 0.006 0.006 0.006  0.24
Tc2 0.494 0.494 0.494  0.24

Calculated values
- Formation energy: 0.470 eV per atom
- Total magnetic moment: 0.149 μB/atom
- DFT total energy: -23.865 eV per cell


A plane-wave DFT calculation with PBE-GGA was carried out for a relaxed Na2CuPd crystal.

a = 2.886 Å, b = 2.886 Å, c = 10.434 Å
α = 82.05°, β = 82.05°, γ = 60.00°
Fractional coordinates of all 4 atoms:
Na1 0.089 0.089 0.733
Na2 0.911 0.911 0.267
Cu1 0.000 0.000 0.000
Pd1 0.500 0.500 0.500

Calculated values
- E above lowest polymorph: 25 meV/atom
- Formation energy: 0.242 eV per atom
- Total magnetic moment: 0.000 μB/atom
- DFT total energy: -10.959 eV per cell


A plane-wave DFT calculation with PBE-GGA was carried out for a relaxed CuTe2As crystal.

a = 7.829 Å, b = 7.829 Å, c = 6.897 Å
α = 87.67°, β = 87.67°, γ = 33.63°
Fractional coordinates of all 8 atoms:
Cu1 0.670 0.670 0.749
Cu2 0.394 0.394 0.515
Te1 0.496 0.496 0.818
Te2 0.221 0.221 0.589
Te3 0.956 0.956 0.369
Te4 0.735 0.735 0.090
As1 0.921 0.921 0.988
As2 0.145 0.145 0.248

Calculated values
- Total magnetic moment: 0.000 μB/atom
- DFT total energy: -29.677 eV per cell


A plane-wave DFT calculation with PBE-GGA was carried out for a relaxed K3Ac2TlO6 crystal.

a = 6.468 Å, b = 6.468 Å, c = 6.717 Å
α = 99.03°, β = 99.03°, γ = 120.09°
Fractional coordinates of all 12 atoms:
K1 0.157 0.843 0.500
K2 0.843 0.157 0.500
K3 0.500 0.500 0.500
Ac1 0.333 0.667 0.000
Ac2 0.667 0.333 0.000
Tl1 0.000 0.000 0.000
O1 0.934 0.612 0.799
O2 0.744 0.744 0.199
O3 0.066 0.388 0.201
O4 0.612 0.934 0.799
O5 0.256 0.256 0.801
O6 0.388 0.066 0.201

Calculated values
- Total magnetic moment: 0.000 μB/atom
- DFT total energy: -67.803 eV per cell


A plane-wave DFT calculation with PBE-GGA was carried out for a relaxed AgIF2 crystal.

a = 6.352 Å, b = 6.352 Å, c = 6.352 Å
α = 101.41°, β = 101.41°, γ = 127.19°
Each line ends with the local moment (μB).
Fractional coordinates of all 8 atoms:
Ag1 0.500 0.500 0.000  0.02
Ag2 0.750 0.250 0.500  0.02
I1 0.000 0.000 0.000  0.33
I2 0.250 0.750 0.500  0.33
F1 0.625 0.305 0.180  0.05
F2 0.125 0.445 0.820  0.05
F3 0.695 0.875 0.320  0.05
F4 0.555 0.375 0.680  0.05

Calculated values
- E above lowest polymorph: 271 meV/atom
- Total magnetic moment: 0.153 μB/atom
- DFT total energy: -20.952 eV per cell


A plane-wave DFT calculation with PBE-GGA was carried out for a relaxed MnPt4 crystal.

a = 3.968 Å, b = 4.832 Å, c = 4.832 Å
α = 99.70°, β = 114.24°, γ = 65.76°
Each line ends with the local moment (μB).
Fractional coordinates of all 5 atoms:
Mn1 0.000 0.000 0.000  3.80
Pt1 0.800 0.803 0.402  0.16
Pt2 0.200 0.197 0.598  0.16
Pt3 0.603 0.598 0.803  0.16
Pt4 0.397 0.402 0.197  0.16

Calculated values
- E above lowest polymorph: 0 meV/atom
- Formation energy: -0.226 eV per atom
- Total magnetic moment: 0.923 μB/atom
- DFT total energy: -34.460 eV per cell


A plane-wave DFT calculation with PBE-GGA was carried out for a relaxed TiSbTe2O crystal.

a = 5.138 Å, b = 5.138 Å, c = 5.256 Å
α = 90.00°, β = 90.00°, γ = 90.00°
Fractional coordinates of all 5 atoms:
Sb1 0.000 0.000 0.500
Te1 0.000 0.500 0.000
Te2 0.500 0.000 0.000
O1 0.500 0.500 0.500
Ti1 0.000 0.000 0.000

Calculated values
- E above lowest polymorph: 378 meV/atom
- Total magnetic moment: 0.000 μB/atom
- DFT total energy: -20.969 eV per cell